KMnH5S2O10 | PBE+U | relaxed

magnetization: 4.97 μB per formula unit
excess energy over the best structure of this formula in the dataset: 332 meV per atom

Structure (POSCAR):
```
KMnH5S2O10
1.0
5.1960 0.0000 0.0000
1.1967 6.5506 0.0000
0.2544 0.4820 8.0001
K Mn H S O
1 1 5 2 10
direct
0.0000 0.0000 0.0000
0.6203 0.4762 0.2495
0.4640 0.3305 0.9113
0.6790 0.7172 0.5165
0.7357 0.1232 0.3580
0.8217 0.9904 0.6068
0.8233 0.4916 0.5721
0.3796 0.1126 0.6600
0.7180 0.5711 0.8906
0.1888 0.9715 0.6554
0.2341 0.5181 0.3248
0.2942 0.6935 0.2668
0.4743 0.4587 0.9728
0.4783 0.1090 0.8363
0.6560 0.9677 0.5587
0.7125 0.5715 0.4854
0.7884 0.2037 0.2594
0.8159 0.6174 0.0623
0.9028 0.4035 0.8140
```